## Na4Ce3SmS8 (PBE-GGA)

Data for a geometry-optimized Na4Ce3SmS8 structure.

E: -5.55 eV/atom
Space-group type: R-3m

POSCAR file:
```
Na4Ce3SmS8
1.0
8.247 0.000 0.000
0.000 8.192 -0.045
-4.124 -4.121 5.835
Ce Sm S Na
3 1 8 4
Cartesian
-2.062 2.036 2.895
4.124 4.096 -0.023
2.062 2.036 2.895
0.000 4.096 -0.023
6.198 2.150 0.053
2.074 1.921 5.737
2.049 2.150 0.053
0.000 0.081 2.972
0.000 3.993 2.802
4.124 0.078 2.988
4.124 3.990 2.818
-2.074 1.921 5.737
4.124 0.000 0.000
2.062 -2.060 2.918
0.000 0.000 0.000
-2.062 -2.060 2.918
```



## MnTe2Pt (PBE-GGA)

Data for a geometry-optimized MnTe2Pt structure.

E: -5.59 eV/atom
Space-group type: P-4m2
Excess energy over the best structure of this formula in the dataset: 21 meV per atom

POSCAR file:
```
MnTe2Pt
1.0
-2.313 -1.096 3.061
3.214 -0.199 2.358
-0.777 6.017 1.567
Mn Te Pt
1 2 1
Cartesian
0.720 3.686 1.864
-0.211 1.388 2.938
2.102 5.337 3.499
1.170 3.039 4.573
```



## LiY2TiF (PBE-GGA)

Data for a geometry-optimized LiY2TiF structure.

E: -5.75 eV/atom
Space-group type: P4/mmm

POSCAR file:
```
LiY2TiF
1.0
5.150 0.000 0.000
0.000 3.787 0.000
0.000 0.000 5.150
Y Ti F Li
2 1 1 1
Cartesian
2.575 0.000 0.000
0.000 0.000 2.575
2.575 1.894 2.575
0.000 0.000 0.000
0.000 1.894 0.000
```



## In3TcP (PBE-GGA)

Data for a geometry-optimized In3TcP structure.

E: -3.74 eV/atom
Space-group type: Pm-3m
Excess energy over the best structure of this formula in the dataset: 291 meV per atom
Calculated formation energy: 1.06 eV per atom

POSCAR file:
```
In3TcP
1.0
-2.902 -1.742 -3.837
-2.127 -3.416 3.159
-3.637 3.387 1.213
Tc In P
1 3 1
Cartesian
-4.333 -0.885 0.268
-1.819 1.694 0.607
-1.064 -1.708 1.580
-1.451 -0.871 -1.918
0.000 0.000 0.000
```



## La2AlAuN (PBE-GGA)

Data for a geometry-optimized La2AlAuN structure.

E: -5.84 eV/atom
Space-group type: P4/mmm

POSCAR file:
```
La2AlAuN
1.0
-4.689 -2.316 0.408
2.228 -4.084 2.425
-0.569 1.771 3.506
Au N Al La
1 1 1 2
Cartesian
-1.515 -2.314 3.170
0.000 0.000 0.000
-0.285 0.886 1.753
-2.345 -1.158 0.204
1.114 -2.042 1.212
```



## LiMnRh3 (PBE-GGA)

Data for a geometry-optimized LiMnRh3 structure.

E: -6.70 eV/atom
Space-group type: P2_1/m
Excess energy over the best structure of this formula in the dataset: 0 meV per atom
Calculated formation energy: -0.07 eV per atom

POSCAR file:
```
LiMnRh3
1.0
4.312 0.000 0.000
0.000 4.315 -1.898
0.000 0.636 7.081
Rh Mn Li
6 2 2
Cartesian
0.067 1.393 4.495
2.222 4.429 1.659
2.223 2.799 3.845
2.223 1.712 1.390
0.067 1.844 -0.132
0.067 4.078 4.783
2.223 1.198 6.050
0.067 2.994 2.289
2.222 3.311 -0.740
0.067 0.245 1.998
```



## YAgS2 (PBE-GGA)

Data for a geometry-optimized YAgS2 structure.

E: -5.72 eV/atom
Space-group type: P3m1

POSCAR file:
```
YAgS2
1.0
-3.855 -0.688 1.058
2.837 -2.804 0.738
1.146 2.726 5.945
S Y Ag
2 1 1
Cartesian
-1.353 -0.747 2.360
1.518 0.070 5.574
0.002 0.005 0.011
1.089 -0.951 3.348
```



## PrVN3 (PBE-GGA)

Data for a geometry-optimized PrVN3 structure.

E: -8.44 eV/atom
Space-group type: Cmmm

POSCAR file:
```
PrVN3
1.0
-3.366 0.690 -1.568
-2.380 -3.196 3.702
0.483 6.253 1.713
Pr N V
2 6 2
Cartesian
-0.495 3.259 2.495
-1.402 -0.202 2.920
-0.195 1.287 0.986
-2.631 1.873 1.924
-3.479 -2.067 2.009
-1.701 1.769 4.430
-1.441 3.471 0.073
-2.267 -0.439 0.125
-3.415 2.321 3.804
-1.847 1.425 0.043
```



## KAg2BiAu (PBE-GGA)

Data for a geometry-optimized KAg2BiAu structure.

E: -2.35 eV/atom
Space-group type: P4/mmm
Calculated formation energy: 0.44 eV per atom

POSCAR file:
```
KAg2BiAu
1.0
5.353 0.000 0.000
0.000 7.020 0.000
0.000 0.000 5.353
Bi Ag K Au
1 2 1 1
Cartesian
0.000 0.000 0.000
2.677 0.000 0.000
0.000 0.000 2.677
0.000 3.510 0.000
2.677 3.510 2.677
```



## Hf3NbMo (PBE-GGA)

Data for a geometry-optimized Hf3NbMo structure.

E: -9.15 eV/atom
Space-group type: Pm-3m
Excess energy over the best structure of this formula in the dataset: 0 meV per atom
Calculated formation energy: 1.00 eV per atom

POSCAR file:
```
Hf3NbMo
1.0
4.930 0.000 0.000
0.000 4.930 0.000
0.000 0.000 4.930
Mo Hf Nb
1 3 1
Cartesian
0.000 0.000 0.000
2.465 0.000 0.000
0.000 2.465 0.000
0.000 0.000 2.465
2.465 2.465 2.465
```



## AsHPb2Se4 (PBE-GGA)

Data for a geometry-optimized AsHPb2Se4 structure.

E: -3.70 eV/atom
Space-group type: C2/c

POSCAR file:
```
AsHPb2Se4
1.0
8.184 -0.402 -0.131
-0.407 8.183 -0.131
-3.972 -3.975 6.007
H Se Pb As
2 8 4 2
Cartesian
-0.204 4.092 -0.065
5.994 1.703 2.808
1.896 2.011 5.605
2.748 -1.673 5.840
1.908 1.796 0.142
4.606 0.442 2.836
1.056 5.480 -0.093
3.696 3.813 3.015
-0.802 3.365 2.910
0.108 -0.006 2.731
2.106 -2.188 2.938
3.888 3.891 -0.131
4.092 -0.201 -0.065
-1.986 -1.987 3.004
4.212 -4.376 5.877
1.902 1.903 2.873
```



## AgHPt (PBE-GGA)

Data for a geometry-optimized AgHPt structure.

E: -4.08 eV/atom
Space-group type: Pmc2_1
Excess energy over the best structure of this formula in the dataset: 5 meV per atom

POSCAR file:
```
AgHPt
1.0
4.673 0.000 0.000
0.000 2.866 0.000
0.000 0.000 5.578
H Ag Pt
2 2 2
Cartesian
0.000 0.285 4.917
0.000 2.581 2.128
2.336 2.403 5.435
2.336 0.463 2.646
0.000 1.142 1.002
0.000 1.724 3.791
```